Here is an optimized crystal structure of NaCrBiIr2 from the Alexandria database. Energies are from PBE.

```
NaCrBiIr2
1.0
5.013 0.000 0.000
0.000 5.013 0.000
0.000 0.000 5.190
Na Cr Bi Ir
1 1 1 2
Cartesian
0.000 0.000 0.000 Na
2.506 2.506 0.000 Cr
0.000 0.000 2.595 Bi
0.000 2.506 2.595 Ir
2.506 0.000 2.595 Ir
```

Calculated values
Calculated formation energy: 2.043 eV/atom
Density of states at the Fermi level: 7.06 states/eV per cell
Energy: -22.33 eV/cell
Space-group type: No. 123